[1]
Below is a crystal of NbBiI2O relaxed with PBEsol, with properties calculated at the SCAN level.

- Space group: P4/mmm, No. 123
- Energy relative to the elements, uncorrected: -0.4575 eV/atom

a = 3.8884 Å, b = 5.7165 Å, c = 5.7165 Å
α = 90.00°, β = 90.00°, γ = 90.00°
Fractional coordinates of all 5 atoms:
O1 0.5000 0.0000 0.0000
Nb1 0.0000 0.0000 0.0000
I1 0.0000 0.0000 0.5000
I2 0.0000 0.5000 0.0000
Bi1 0.5000 0.5000 0.5000

[2]
Below is a crystal of Hg2TeI relaxed with PBEsol, with properties calculated at the SCAN level.

- Space group: Fm-3m, No. 225
- Energy relative to the elements, uncorrected: 0.2551 eV/atom

a = 5.3588 Å, b = 5.3588 Å, c = 5.3588 Å
α = 60.00°, β = 60.00°, γ = 60.00°
Fractional coordinates of all 4 atoms:
Hg1 0.2500 0.2500 0.2500
Te1 0.0000 0.0000 0.0000
Hg2 0.7500 0.7500 0.7500
I1 0.5000 0.5000 0.5000

Number 1: density 7.47 g/cm3. Number 2: density 10.01 g/cm3.